Compound: Tb2PrSc
Source: Alexandria via LeMat-Bulk
Functional: PBE-GGA
Structure: optimized geometry

Properties
size of the total moment	0.000	μB/cell
ΔH_f (0 K)	0.044	eV/atom

Cell: 3.542 6.072 7.825 Å, 50.07 103.04 106.96°
Sites, in units of the cell vectors:
1 Tb 0.226 0.558 0.271
2 Tb 0.982 0.813 0.525
3 Pr 0.472 0.302 0.016
4 Sc 0.726 0.059 0.768

---

Compound: KRbPtBr6
Source: Alexandria via LeMat-Bulk
Functional: PBE-GGA
Structure: optimized geometry

Properties
size of the total moment	0.000	μB/cell
E	-2.924	eV per atom

Cell: 7.831 7.831 6.931 Å, 90.04 89.96 59.86°
Sites, in units of the cell vectors:
1 K 0.666 0.666 0.500
2 Rb 0.000 0.000 0.000
3 Pt 0.333 0.333 0.500
4 Br 0.073 0.335 0.288
5 Br 0.335 0.073 0.712
6 Br 0.591 0.336 0.713
7 Br 0.071 0.594 0.711
8 Br 0.336 0.592 0.287
9 Br 0.594 0.071 0.289

---

Compound: Ta2CuSbP
Source: Alexandria via LeMat-Bulk
Functional: PBE-GGA
Structure: optimized geometry

Properties
size of the total moment	0.000	μB/cell
E	-5.406	eV per atom

Cell: 5.095 4.945 5.095 Å, 90.00 90.00 90.00°
Sites, in units of the cell vectors:
1 Sb 0.000 0.000 0.000
2 P 0.000 0.500 0.000
3 Cu 0.500 0.500 0.500
4 Ta 0.000 0.000 0.500
5 Ta 0.500 0.000 0.000

---

Compound: CoHgMo2
Source: Alexandria via LeMat-Bulk
Functional: PBE-GGA
Structure: optimized geometry

Properties
size of the total moment	1.111	μB/cell
ΔH_f (0 K)	0.344	eV/atom

Cell: 2.786 2.786 8.027 Å, 90.00 90.00 90.04°
Site moments in Bohr magnetons follow the coordinates.
Sites, in units of the cell vectors:
1 Co 0.500 0.500 0.250  0.98
2 Hg 0.500 0.500 0.750  0.00
3 Mo 0.000 0.000 0.037  0.07
4 Mo 0.000 0.000 0.463  0.07